Entry 1:
VASP calculation (PBE) on a relaxed MoPdPt3 crystal.

Cell and atoms, written as POSCAR:
```
MoPdPt3
1.0
4.781 0.000 0.000
0.000 4.781 0.000
0.000 0.000 4.781
Mo Pd Pt
1 1 3
Direct
0.000 0.000 0.000
0.500 0.500 0.500
0.000 0.000 0.500
0.000 0.500 0.000
0.500 0.000 0.000
```

Computed properties:
* uncorrected energy: -5.641 eV per atom
* magnetic moment: 0.000 μB/atom
* formation energy: 1.189 eV per atom

---

Entry 2:
VASP calculation (PBE) on a relaxed NbV5Fe2 crystal.

Cell and atoms, written as POSCAR:
```
NbV5Fe2
1.0
4.304 0.000 0.000
0.000 6.967 0.000
0.000 0.000 7.395
Nb V Fe
2 10 4
Direct
0.000 0.000 0.000
0.500 0.500 0.500
0.000 0.178 0.336
0.000 0.178 0.664
0.000 0.500 0.000
0.000 0.822 0.336
0.000 0.822 0.664
0.500 0.000 0.500
0.500 0.322 0.164
0.500 0.322 0.836
0.500 0.678 0.164
0.500 0.678 0.836
0.000 0.500 0.317
0.000 0.500 0.683
0.500 0.000 0.183
0.500 0.000 0.817
```

Computed properties:
* uncorrected energy: -8.916 eV per atom
* magnetic moment: 0.000 μB/atom
* formation energy: 0.157 eV per atom

---

Entry 3:
VASP calculation (PBE) on a relaxed LiSc2Ag2O4 crystal.

Cell and atoms, written as POSCAR:
```
LiSc2Ag2O4
1.0
2.748 -1.588 0.000
2.748 1.588 0.000
-0.060 0.000 14.367
Li Sc Ag O
1 2 2 4
Direct
0.000 0.000 0.000
0.667 0.667 0.166
0.672 0.672 0.606
0.003 0.003 0.384
0.338 0.338 0.834
0.001 0.001 0.234
0.004 0.004 0.528
0.333 0.333 0.082
0.339 0.339 0.676
```

Computed properties:
* uncorrected energy: -6.624 eV per atom
* magnetic moment: 0.000 μB/atom
* uncorrected formation energy: -19.51 eV per formula unit

---

Entry 4:
VASP calculation (PBE) on a relaxed Ca3TmPu2N6 crystal.

Cell and atoms, written as POSCAR:
```
Ca3TmPu2N6
1.0
7.508 -1.743 0.000
7.508 1.743 0.000
-1.653 0.000 6.763
Ca Tm Pu N
3 1 2 6
Direct
0.000 0.000 0.000
0.334 0.334 0.667
0.666 0.666 0.333
0.000 0.000 0.500
0.335 0.335 0.172
0.665 0.665 0.828
0.162 0.162 0.606
0.177 0.177 0.064
0.488 0.488 0.257
0.512 0.512 0.743
0.823 0.823 0.936
0.838 0.838 0.394
```

Computed properties:
* uncorrected energy: -8.694 eV per atom
* magnetic moment: 0.583 μB/atom
* uncorrected formation energy: -15.24 eV per formula unit

---

Copy entry 3 word for word.
VASP calculation (PBE) on a relaxed LiSc2Ag2O4 crystal.

Cell and atoms, written as POSCAR:
```
LiSc2Ag2O4
1.0
2.748 -1.588 0.000
2.748 1.588 0.000
-0.060 0.000 14.367
Li Sc Ag O
1 2 2 4
Direct
0.000 0.000 0.000
0.667 0.667 0.166
0.672 0.672 0.606
0.003 0.003 0.384
0.338 0.338 0.834
0.001 0.001 0.234
0.004 0.004 0.528
0.333 0.333 0.082
0.339 0.339 0.676
```

Computed properties:
* uncorrected energy: -6.624 eV per atom
* magnetic moment: 0.000 μB/atom
* uncorrected formation energy: -19.51 eV per formula unit

---

Please write out number 2 again, unchanged.
VASP calculation (PBE) on a relaxed NbV5Fe2 crystal.

Cell and atoms, written as POSCAR:
```
NbV5Fe2
1.0
4.304 0.000 0.000
0.000 6.967 0.000
0.000 0.000 7.395
Nb V Fe
2 10 4
Direct
0.000 0.000 0.000
0.500 0.500 0.500
0.000 0.178 0.336
0.000 0.178 0.664
0.000 0.500 0.000
0.000 0.822 0.336
0.000 0.822 0.664
0.500 0.000 0.500
0.500 0.322 0.164
0.500 0.322 0.836
0.500 0.678 0.164
0.500 0.678 0.836
0.000 0.500 0.317
0.000 0.500 0.683
0.500 0.000 0.183
0.500 0.000 0.817
```

Computed properties:
* uncorrected energy: -8.916 eV per atom
* magnetic moment: 0.000 μB/atom
* formation energy: 0.157 eV per atom